#a
A plane-wave DFT calculation with PBE was carried out for an optimized crystal structure of DyZrHg4.

Calculated values
D(E_F) (states/eV/cell): 2.79
Total magnetic moment (Bohr magnetons per cell): 0.20
Crystal system: tetragonal

Lattice parameters (Å, degrees): 3.3822 3.3822 12.1548 90.00 90.00 90.00
With the nearest neighbours (Å) after each atom.
Space group P4/mmm (No. 123)
One atom of each set of equivalent atoms:
Dy  0.0000  0.0000  0.0000  8 Hg 3.17, 4 Dy 3.38
Zr  0.5000  0.5000  0.5000  8 Hg 3.08, 4 Zr 3.38
Hg  0.0000  0.0000  0.3407  4 Zr 3.08, 8 Hg 3.16-3.38
Hg  0.5000  0.5000  0.1712  8 Hg 3.16-3.38, 4 Dy 3.17

---

#b
A plane-wave DFT calculation with PBE was carried out for an optimized crystal structure of DyZrHg4.

Calculated values
D(E_F) (states/eV/cell): 7.93
Total magnetic moment (Bohr magnetons per cell): 0.00
Crystal system: orthorhombic

Lattice parameters (Å, degrees): 5.1608 3.5379 15.3021 90.00 90.00 90.00
With the nearest neighbours (Å) after each atom.
Space group Amm2 (No. 38)
One atom of each set of equivalent atoms:
Dy  0.0000  0.0000  0.0000  10 Hg 3.13-3.23
Zr  0.5000  0.0000  0.7811  10 Hg 3.05-3.21
Hg  0.0000  0.0000  0.3295  4 Hg 3.03-3.14, 2 Dy 3.15, 4 Zr 3.21
Hg  0.0000  0.0000  0.6686  6 Hg 3.03-3.22, 2 Zr 3.10, 2 Dy 3.13
Hg  0.5000  0.0000  0.1183  2 Zr 3.05, 2 Dy 3.15, 6 Hg 3.17-3.22
Hg  0.5000  0.0000  0.4467  2 Zr 3.09, 4 Hg 3.14-3.17, 4 Dy 3.23

---

From most stable to least stable, the computed energies give #a, #b.

---

#a
A plane-wave DFT calculation with PBE was carried out for an optimized crystal structure of DyZrHg.

Calculated values
D(E_F) (states/eV/cell): 3.10
Total magnetic moment (Bohr magnetons per cell): 0.00
Crystal system: tetragonal

Lattice parameters (Å, degrees): 3.4317 3.4317 12.6781 90.00 90.00 90.00
With the nearest neighbours (Å) after each atom.
Space group I4mm (No. 107)
One atom of each set of equivalent atoms:
Dy  0.0000  0.0000  0.0000  4 Hg 3.26, 4 Zr 3.30, 4 Dy 3.43
Zr  0.0000  0.0000  0.6764  4 Hg 3.09, 4 Dy 3.30, 4 Zr 3.43
Hg  0.0000  0.0000  0.3278  4 Zr 3.09, 4 Dy 3.26, 4 Hg 3.43

---

#b
A plane-wave DFT calculation with PBE was carried out for an optimized crystal structure of DyZrHg.

Calculated values
D(E_F) (states/eV/cell): 3.97
Total magnetic moment (Bohr magnetons per cell): 0.00
Crystal system: trigonal

Lattice parameters (Å, degrees): 5.0768 5.0768 6.6597 90.00 90.00 120.00
With the nearest neighbours (Å) after each atom.
Space group P-3m1 (No. 164)
One atom of each set of equivalent atoms:
Dy  0.0000  0.0000  0.2446  3 Hg 3.14, 6 Zr 3.22-3.51, 2 Dy 3.26-3.40
Zr  0.3333  0.6667  0.9552  3 Zr 2.99, 1 Hg 3.04, 3 Dy 3.22
Hg  0.3333  0.6667  0.4119  1 Zr 3.04, 3 Dy 3.14, 3 Hg 3.16

---

#c
A plane-wave DFT calculation with PBE was carried out for an optimized crystal structure of DyZrHg.

Calculated values
D(E_F) (states/eV/cell): 2.70
Total magnetic moment (Bohr magnetons per cell): 0.00
Crystal system: hexagonal

Lattice parameters (Å, degrees): 5.0285 5.0285 3.4861 90.00 90.00 120.00
With the nearest neighbours (Å) after each atom.
Space group P-6m2 (No. 187)
One atom of each set of equivalent atoms:
Dy  0.0000  0.0000  0.0000  6 Zr 3.39, 6 Hg 3.39, 2 Dy 3.49
Zr  0.3333  0.6667  0.5000  3 Hg 2.90
Hg  0.6667  0.3333  0.5000  3 Zr 2.90

---

From most stable to least stable, the computed energies give #a, #b, #c.